4
Lattice="0.0000 3.8213 3.8213 3.8213 0.0000 3.8213 3.8213 3.8213 0.0000" Properties=species:S:1:pos:R:3 comment="LaSmZnIn, relaxed, DFT PBE-GGA" sg="No. 216" total_energy_ev_per_atom=-3.81 crystal_system=cubic dos_ef_per_ev_atom=1.2717 pbc="T T T"
La 0.0000 0.0000 0.0000
Sm 3.8213 3.8213 3.8213
Zn 5.7320 5.7320 5.7320
In 1.9107 1.9107 1.9107


5
Lattice="6.1370 0.0000 0.0000 0.0000 6.1370 0.0000 0.0000 0.0000 6.1370" Properties=species:S:1:pos:R:3 comment="KHg3W, relaxed, DFT PBE-GGA" sg="No. 221" relative_energy_mev_per_atom=987 crystal_system=cubic dos_ef_per_ev_atom=0.1607 pbc="T T T"
K 0.0000 0.0000 0.0000
Hg 0.0000 0.0000 3.0685
Hg 0.0000 3.0685 0.0000
Hg 3.0685 0.0000 0.0000
W 3.0685 3.0685 3.0685